Ac2TcHg after structural relaxation, computed with PBE.

Results
Distance to the lowest polymorph of the same formula   0.736 eV/atom
Calculated total energy   -3.998 eV/atom
Symmetry   No. 166
DFT formation energy   723 meV per atom
D(E_F)   4.974 states/eV per cell

Lattice parameters (Å, degrees): 3.635 3.635 11.155 80.62 80.62 60.00
Positions (direct):
Ac 0.081 0.081 0.758
Ac 0.919 0.919 0.242
Hg 0.500 0.500 0.500
Tc 0.000 0.000 0.000